LaSm2TmP4 GGA-PBE optimized geometry; E_form = -1.56 eV per atom; total magnetic moment = 0.000 μB/f.u.; uncorrected energy = -52.94 eV/cell
1.0
4.1147 0.0000 0.0000
0.0000 7.1227 -0.1459
0.0000 2.5012 6.6640
P Sm La Tm
4 2 1 1
direct
0.0000 0.2480 0.2586
0.0000 0.7520 0.7414
0.5000 0.2539 0.7411
0.5000 0.7461 0.2589
0.0000 0.0000 0.0000
0.5000 0.0000 0.5000
0.5000 0.5000 0.0000
0.0000 0.5000 0.5000